Arrangement 1

{"formula": "SrZrCu2", "functional": "meta-GGA SCAN", "state": "PBEsol geometry", "density_g_cm3": 5.43, "vol_a3_per_cell": 93.5, "total_magnetization_mub_per_cell": 1.38, "lattice_angstrom": [[2.0977, 1.2111, 6.1324], [-2.0977, 1.2111, 6.1324], [0.0000, -2.4223, 6.1324]], "species": ["Sr", "Zr", "Cu", "Cu"], "frac_coords": [[0.0000, 0.0000, 0.0000], [0.1824, 0.1824, 0.1824], [0.4529, 0.4529, 0.4529], [0.7877, 0.7877, 0.7877]]}


Arrangement 2

{"formula": "SrZrCu2", "functional": "meta-GGA SCAN", "state": "PBEsol geometry", "density_g_cm3": 7.08, "vol_a3_per_cell": 71.7, "total_magnetization_mub_per_cell": 0.00, "lattice_angstrom": [[0.0000, 3.2979, 3.2979], [3.2979, 0.0000, 3.2979], [3.2979, 3.2979, 0.0000]], "species": ["Sr", "Zr", "Cu", "Cu"], "frac_coords": [[0.0000, 0.0000, 0.0000], [0.7500, 0.7500, 0.7500], [0.2500, 0.2500, 0.2500], [0.5000, 0.5000, 0.5000]]}


Arrangement 3

{"formula": "SrZrCu2", "functional": "meta-GGA SCAN", "state": "PBEsol geometry", "density_g_cm3": 6.22, "vol_a3_per_cell": 81.7, "total_magnetization_mub_per_cell": 0.00, "lattice_angstrom": [[3.2737, 0.0000, 0.0000], [0.0000, 3.2737, 0.0000], [0.0000, 0.0000, 7.6193]], "species": ["Sr", "Zr", "Cu", "Cu"], "frac_coords": [[0.0000, 0.0000, 0.0000], [0.5000, 0.5000, 0.3780], [0.0000, 0.0000, 0.5870], [0.5000, 0.5000, 0.7226]]}


In terms of stability, arrangement 1 leads; the second structure lies 134 meV/atom higher.


Arrangement 1

{"formula": "TaCu2Tc", "functional": "meta-GGA SCAN", "state": "PBEsol geometry", "density_g_cm3": 12.47, "vol_a3_per_cell": 54.1, "total_magnetization_mub_per_cell": 0.00, "lattice_angstrom": [[3.6402, 0.0000, 0.0000], [0.0000, 3.6402, 0.0000], [0.0000, 0.0000, 4.0793]], "species": ["Ta", "Cu", "Cu", "Tc"], "frac_coords": [[0.0000, 0.0000, 0.0000], [0.0000, 0.5000, 0.5000], [0.5000, 0.0000, 0.5000], [0.5000, 0.5000, 0.0000]]}


Arrangement 2

{"formula": "TaCu2Tc", "functional": "meta-GGA SCAN", "state": "PBEsol geometry", "density_g_cm3": 12.43, "vol_a3_per_cell": 54.2, "total_magnetization_mub_per_cell": 0.00, "lattice_angstrom": [[0.0000, 3.0043, 3.0043], [3.0043, 0.0000, 3.0043], [3.0043, 3.0043, 0.0000]], "species": ["Ta", "Cu", "Cu", "Tc"], "frac_coords": [[0.0000, 0.0000, 0.0000], [0.2500, 0.2500, 0.2500], [0.7500, 0.7500, 0.7500], [0.5000, 0.5000, 0.5000]]}


In terms of stability, arrangement 1 leads; the second structure lies 283 meV/atom higher.


Arrangement 1

{"formula": "TaCuW2", "functional": "meta-GGA SCAN", "state": "PBEsol geometry", "density_g_cm3": 16.55, "vol_a3_per_cell": 61.4, "total_magnetization_mub_per_cell": 0.00, "lattice_angstrom": [[4.6457, -1.4180, 0.0000], [4.6457, 1.4180, 0.0000], [-0.8555, 0.0000, 4.6609]], "species": ["Ta", "Cu", "W", "W"], "frac_coords": [[0.0000, 0.0000, 0.0000], [0.5000, 0.5000, 0.5000], [0.2343, 0.2343, 0.7360], [0.7657, 0.7657, 0.2640]]}


Arrangement 2

{"formula": "TaCuW2", "functional": "meta-GGA SCAN", "state": "PBEsol geometry", "density_g_cm3": 16.57, "vol_a3_per_cell": 61.4, "total_magnetization_mub_per_cell": 0.00, "lattice_angstrom": [[2.6763, 0.0000, 0.0000], [0.0000, 4.4620, 0.0000], [-0.7576, 0.0000, 5.1383]], "species": ["Ta", "Cu", "W", "W"], "frac_coords": [[0.0000, 0.0000, 0.0000], [0.3212, 0.5000, 0.7668], [0.4799, 0.0000, 0.4994], [0.7463, 0.5000, 0.2709]]}


In terms of stability, arrangement 2 leads; the second structure lies 114 meV/atom higher.


Arrangement 1

{"formula": "Zr2TaCu", "functional": "meta-GGA SCAN", "state": "PBEsol geometry", "density_g_cm3": 9.61, "vol_a3_per_cell": 73.8, "total_magnetization_mub_per_cell": 0.00, "lattice_angstrom": [[-1.5382, 2.4340, 4.9269], [1.5382, -2.4340, 4.9269], [1.5382, 2.4340, -4.9269]], "species": ["Zr", "Zr", "Ta", "Cu"], "frac_coords": [[0.0000, 0.0000, 0.0000], [0.7202, 0.2202, 0.5000], [0.4565, 0.4565, 0.0000], [0.2405, 0.7405, 0.5000]]}


Arrangement 2

{"formula": "Zr2TaCu", "functional": "meta-GGA SCAN", "state": "PBEsol geometry", "density_g_cm3": 9.38, "vol_a3_per_cell": 75.6, "total_magnetization_mub_per_cell": 0.00, "lattice_angstrom": [[1.5494, 0.8946, 9.0877], [-1.5494, 0.8946, 9.0877], [0.0000, -1.7891, 9.0877]], "species": ["Zr", "Zr", "Ta", "Cu"], "frac_coords": [[0.2454, 0.2454, 0.2454], [0.7546, 0.7546, 0.7546], [0.0000, 0.0000, 0.0000], [0.5000, 0.5000, 0.5000]]}


Arrangement 3

{"formula": "Zr2TaCu", "functional": "meta-GGA SCAN", "state": "PBEsol geometry", "density_g_cm3": 9.83, "vol_a3_per_cell": 72.1, "total_magnetization_mub_per_cell": 0.00, "lattice_angstrom": [[3.0411, 0.0000, 0.0000], [0.0000, 3.6506, 0.0000], [0.0000, 0.0000, 6.4989]], "species": ["Zr", "Zr", "Ta", "Cu"], "frac_coords": [[0.0000, 0.0000, 0.0000], [0.5000, 0.5000, 0.2870], [0.5000, 0.5000, 0.7400], [0.0000, 0.0000, 0.5271]]}


In terms of stability, arrangement 1 leads; the second structure lies 32 meV/atom higher.


Arrangement 1

{"formula": "ZrTa2Cu", "functional": "meta-GGA SCAN", "state": "PBEsol geometry", "density_g_cm3": 12.58, "vol_a3_per_cell": 68.2, "total_magnetization_mub_per_cell": 0.00, "lattice_angstrom": [[0.0000, 3.2427, 3.2427], [3.2427, 0.0000, 3.2427], [3.2427, 3.2427, 0.0000]], "species": ["Zr", "Ta", "Ta", "Cu"], "frac_coords": [[0.0000, 0.0000, 0.0000], [0.2500, 0.2500, 0.2500], [0.5000, 0.5000, 0.5000], [0.7500, 0.7500, 0.7500]]}


Arrangement 2

{"formula": "ZrTa2Cu", "functional": "meta-GGA SCAN", "state": "PBEsol geometry", "density_g_cm3": 12.49, "vol_a3_per_cell": 68.7, "total_magnetization_mub_per_cell": 0.00, "lattice_angstrom": [[3.3225, 0.0000, 0.0000], [0.0000, 3.3225, 0.0000], [0.0000, 0.0000, 6.2236]], "species": ["Zr", "Ta", "Ta", "Cu"], "frac_coords": [[0.0000, 0.0000, 0.0000], [0.0000, 0.0000, 0.4874], [0.5000, 0.5000, 0.7245], [0.5000, 0.5000, 0.2545]]}


In terms of stability, arrangement 2 leads; the second structure lies 66 meV/atom higher.


Arrangement 1

{"formula": "CuTc3", "functional": "meta-GGA SCAN", "state": "PBEsol geometry", "density_g_cm3": 11.00, "vol_a3_per_cell": 54.0, "total_magnetization_mub_per_cell": 0.00, "lattice_angstrom": [[2.6838, 0.0000, 0.0000], [-1.3419, 2.3243, 0.0000], [0.0000, 0.0000, 8.6538]], "species": ["Cu", "Tc", "Tc", "Tc"], "frac_coords": [[0.0000, 0.0000, 0.0000], [0.0000, 0.0000, 0.5000], [0.3333, 0.6667, 0.2502], [0.3333, 0.6667, 0.7498]]}


Arrangement 2

{"formula": "CuTc3", "functional": "meta-GGA SCAN", "state": "PBEsol geometry", "density_g_cm3": 11.19, "vol_a3_per_cell": 106.1, "total_magnetization_mub_per_cell": 0.00, "lattice_angstrom": [[4.3098, 0.0000, 0.0000], [0.0000, 5.3210, 0.0000], [0.0000, 0.0000, 4.6264]], "species": ["Cu", "Cu", "Tc", "Tc", "Tc", "Tc", "Tc", "Tc"], "frac_coords": [[0.2500, 0.2500, 0.1676], [0.7500, 0.7500, 0.8324], [0.2500, 0.0005, 0.6724], [0.2500, 0.4995, 0.6724], [0.2500, 0.7500, 0.1618], [0.7500, 0.9995, 0.3276], [0.7500, 0.2500, 0.8382], [0.7500, 0.5005, 0.3276]]}


In terms of stability, arrangement 2 leads; the second structure lies 82 meV/atom higher.